[1]
Below is a relaxed structure of BaEu2Ge, with properties calculated at the PBE level.

```
BaEu2Ge
1.0
4.059 0.000 0.000
2.030 3.515 0.000
2.030 1.172 11.657
Ge Eu Ba
1 2 1
direct
0.500 0.500 0.500
0.889 0.889 0.332
0.111 0.111 0.668
0.000 0.000 0.000
```

Summary:
- formation enthalpy at 0 K (meV per atom) = -121
- Fermi-level density of states (states/eV/cell) = 17.2
- space-group type = R-3m, No. 166

***

[2]
Below is a relaxed structure of TcSe2Cl, with properties calculated at the PBE level.

```
TcSe2Cl
1.0
7.113 0.053 0.004
4.884 5.172 -0.004
-5.596 -3.535 2.604
Cl Se Tc
1 2 1
direct
0.343 0.843 0.500
0.030 0.030 0.000
0.636 0.136 0.500
0.491 0.491 0.000
```

Summary:
- Fermi-level density of states (states/eV/cell) = 2.4
- VASP energy (eV per atom) = -4.81
- space-group type = Imm2, No. 44

***

[3]
Below is a relaxed structure of Ti3H2Pb2, with properties calculated at the PBE level.

```
Ti3H2Pb2
1.0
7.316 0.000 -0.860
0.000 5.572 0.000
2.528 0.000 4.912
Ti H Pb
6 4 4
direct
0.696 0.626 0.376
0.000 0.000 0.000
0.804 0.126 0.624
0.500 0.500 0.000
0.196 0.874 0.376
0.304 0.374 0.624
0.067 0.112 0.644
0.933 0.888 0.356
0.567 0.388 0.644
0.433 0.612 0.356
0.897 0.591 0.793
0.103 0.409 0.207
0.603 0.091 0.207
0.397 0.909 0.793
```

Summary:
- Fermi-level density of states (states/eV/cell) = 7.7
- VASP energy (eV per atom) = -5.51
- space-group type = P2_1/c, No. 14

***

[4]
Below is a relaxed structure of SmRuC, with properties calculated at the PBE level.

```
SmRuC
1.0
-1.576 -3.509 0.580
1.945 -0.320 3.354
-5.300 2.935 3.354
Ru C Sm
2 2 2
direct
0.500 0.500 0.500
0.500 0.500 0.000
0.000 0.500 0.000
0.500 0.000 0.500
0.000 0.000 0.250
0.000 0.000 0.750
```

Summary:
- formation enthalpy at 0 K (meV per atom) = -155
- Fermi-level density of states (states/eV/cell) = 3.7
- space-group type = P4_2/mmc, No. 131

***

[5]
Below is a relaxed structure of PuFe2SiC, with properties calculated at the PBE level.

```
PuFe2SiC
1.0
-0.320 3.635 0.865
0.280 -3.024 4.683
6.677 0.591 -0.018
Pu Fe Si C
2 4 2 2
direct
0.553 0.106 0.250
0.447 0.894 0.750
0.167 0.333 0.559
0.833 0.667 0.059
0.167 0.333 0.941
0.833 0.667 0.441
0.726 0.452 0.750
0.274 0.548 0.250
0.000 0.000 0.000
0.000 0.000 0.500
```

Summary:
- Fermi-level density of states (states/eV/cell) = 22.5
- VASP energy (eV per atom) = -9.53
- space-group type = Cmcm, No. 63

***

[6]
Below is a relaxed structure of V2TcPt2, with properties calculated at the PBE level.

```
V2TcPt2
1.0
-1.481 -1.783 7.104
-4.152 -5.766 -2.313
2.168 -1.583 0.055
Pt V Tc
4 4 2
direct
0.128 0.372 0.000
0.628 0.128 0.000
0.872 0.628 0.000
0.372 0.872 0.000
0.671 0.829 0.500
0.829 0.329 0.500
0.329 0.171 0.500
0.171 0.671 0.500
0.000 0.000 0.000
0.500 0.500 0.000
```

Summary:
- formation enthalpy at 0 K (meV per atom) = -221
- Fermi-level density of states (states/eV/cell) = 10.9
- space-group type = P4/mbm, No. 127

***

[7]
Below is a relaxed structure of TbPmHo3Tm, with properties calculated at the PBE level.

```
TbPmHo3Tm
1.0
5.010 0.000 0.000
-2.505 7.519 0.000
0.000 0.000 10.032
Ho Pm Tm Tb
6 2 2 2
direct
0.667 0.335 0.000
0.832 0.664 0.250
0.667 0.335 0.500
0.333 0.665 0.000
0.168 0.336 0.750
0.333 0.665 0.500
0.500 0.001 0.250
0.500 0.999 0.750
0.168 0.336 0.250
0.832 0.664 0.750
0.000 0.000 0.500
0.000 0.000 0.000
```

Summary:
- formation enthalpy at 0 K (meV per atom) = 21
- Fermi-level density of states (states/eV/cell) = 16.3
- space-group type = Cmcm, No. 63

***

[8]
Below is a relaxed structure of MgBeP, with properties calculated at the PBE level.

```
MgBeP
1.0
-0.240 -5.003 1.816
1.669 -4.775 -0.695
2.003 -0.455 2.405
Be Mg P
1 1 1
direct
0.036 0.036 0.964
0.336 0.336 0.664
0.628 0.628 0.372
```

Summary:
- formation enthalpy at 0 K (meV per atom) = 153
- Fermi-level density of states (states/eV/cell) = 0.5
- space-group type = Fmm2, No. 42

***

[9]
Below is a relaxed structure of KTlIF, with properties calculated at the PBE level.

```
KTlIF
1.0
-3.889 -0.670 -2.208
0.021 -1.975 -4.067
-2.784 -15.396 4.949
I K F Tl
2 2 2 2
direct
0.903 0.903 0.291
0.097 0.097 0.709
0.639 0.639 0.083
0.361 0.361 0.917
0.307 0.307 0.080
0.693 0.693 0.920
0.198 0.198 0.406
0.802 0.802 0.594
```

Summary:
- Fermi-level density of states (states/eV/cell) = 0.0
- VASP energy (eV per atom) = -3.27
- space-group type = R-3m, No. 166

***

[10]
Below is a relaxed structure of La2PmCoAg, with properties calculated at the PBE level.

```
La2PmCoAg
1.0
5.219 0.000 0.000
0.000 5.219 0.000
0.000 0.000 5.475
Ag La Pm Co
1 2 1 1
direct
0.500 0.500 0.504
0.000 0.500 0.999
0.500 0.000 0.998
0.000 0.000 0.499
0.000 0.000 0.000
```

Summary:
- formation enthalpy at 0 K (meV per atom) = -45
- Fermi-level density of states (states/eV/cell) = 6.4
- space-group type = P4mm, No. 99

***

[11]
Below is a relaxed structure of ZrTi3N, with properties calculated at the PBE level.

```
ZrTi3N
1.0
0.381 -2.556 -5.596
-2.046 -3.117 4.909
-4.249 4.179 1.572
Ti Zr N
6 2 2
direct
0.755 0.000 0.255
0.245 0.000 0.745
0.254 0.500 0.255
0.750 0.507 0.258
0.250 0.493 0.742
0.746 0.500 0.745
0.750 0.997 0.747
0.250 0.003 0.253
0.251 0.258 0.509
0.749 0.742 0.491
```

Summary:
- Fermi-level density of states (states/eV/cell) = 11.5
- VASP energy (eV per atom) = -8.78
- space-group type = Imma, No. 74

***

[12]
Below is a relaxed structure of K2PtC2, with properties calculated at the PBE level.

```
K2PtC2
1.0
5.214 0.000 0.000
-2.607 4.515 0.000
0.000 0.000 5.234
C Pt K
2 1 2
direct
0.000 0.000 0.622
0.000 0.000 0.378
0.000 0.000 0.000
0.333 0.667 0.274
0.667 0.333 0.726
```

Summary:
- formation enthalpy at 0 K (meV per atom) = -100
- space-group type = P-3m1, No. 164

***

[13]
Below is a relaxed structure of Na2Mn2S, with properties calculated at the PBE level.

```
Na2Mn2S
1.0
5.016 0.000 0.000
0.000 5.016 0.000
0.000 0.000 5.105
Na Mn S
2 2 1
direct
0.000 0.000 0.500
0.000 0.000 0.000
0.500 0.000 0.000
0.000 0.500 0.000
0.500 0.500 0.500
```

Summary:
- Fermi-level density of states (states/eV/cell) = 5.1
- VASP energy (eV per atom) = -3.79
- space-group type = P4/mmm, No. 123

***

Number 1: spin magnetization 14.26 μB per formula unit. Number 2: spin magnetization 0.00 μB per formula unit. Number 3: spin magnetization 0.00 μB per formula unit. Number 4: spin magnetization 0.00 μB per formula unit. Number 5: spin magnetization 3.88 μB per formula unit. Number 6: spin magnetization 0.00 μB per formula unit. Number 7: spin magnetization 0.00 μB per formula unit. Number 8: spin magnetization 0.00 μB per formula unit. Number 9: spin magnetization 0.10 μB per formula unit. Number 10: spin magnetization 0.00 μB per formula unit. Number 11: spin magnetization 0.00 μB per formula unit. Number 12: spin magnetization 0.00 μB per formula unit. Number 13: spin magnetization 8.98 μB per formula unit.